A plane-wave DFT calculation with PBE was carried out for crystalline Tb2Si2SnRu5 at its relaxed geometry.

abc: 10.119 10.119 3.268
angles: 90.00 90.00 90.00
Space group P4/mbm (No. 127)
Symmetry-distinct sites (fractional):
Tb  0.174  0.326  0.000 [4 per cell]
Si  0.125  0.625  0.000 [4 per cell]
Sn  0.000  0.000  0.000 [2 per cell]
Ru  0.000  0.500  0.500 [2 per cell]
Ru  0.068  0.787  0.500 [8 per cell]

A plane-wave DFT calculation with PBE was carried out for crystalline SiTc2SnRu at its relaxed geometry.

abc: 4.864 4.864 4.811
angles: 90.00 90.00 90.00
Space group P4/mmm (No. 123)
Symmetry-distinct sites (fractional):
Si  0.000  0.000  0.000 [1 per cell]
Tc  0.000  0.500  0.500 [2 per cell]
Sn  0.500  0.500  0.500 [1 per cell]
Ru  0.500  0.500  0.000 [1 per cell]

A plane-wave DFT calculation with PBE was carried out for crystalline Th2Si2SnRu5 at its relaxed geometry.

abc: 10.121 10.121 3.449
angles: 90.00 90.00 90.00
Space group P4/mbm (No. 127)
Symmetry-distinct sites (fractional):
Th  0.177  0.323  0.000 [4 per cell]
Si  0.121  0.621  0.000 [4 per cell]
Sn  0.000  0.000  0.000 [2 per cell]
Ru  0.000  0.500  0.500 [2 per cell]
Ru  0.069  0.782  0.500 [8 per cell]

A plane-wave DFT calculation with PBE was carried out for crystalline TiSiSn2Ru at its relaxed geometry.

abc: 5.110 5.110 4.370
angles: 90.00 90.00 90.00
Space group P4/mmm (No. 123)
Symmetry-distinct sites (fractional):
Ti  0.000  0.000  0.000 [1 per cell]
Si  0.500  0.500  0.500 [1 per cell]
Sn  0.000  0.500  0.500 [2 per cell]
Ru  0.500  0.500  0.000 [1 per cell]

A plane-wave DFT calculation with PBE was carried out for crystalline TiSiSnRu2 at its relaxed geometry.

abc: 4.556 4.556 5.203
angles: 90.00 90.00 90.00
Space group P4/mmm (No. 123)
Symmetry-distinct sites (fractional):
Ti  0.000  0.000  0.000 [1 per cell]
Si  0.500  0.500  0.500 [1 per cell]
Sn  0.000  0.000  0.500 [1 per cell]
Ru  0.000  0.500  0.000 [2 per cell]

A plane-wave DFT calculation with PBE was carried out for crystalline Tm2Si2SnRu5 at its relaxed geometry.

abc: 10.041 10.041 3.256
angles: 90.00 90.00 90.00
Space group P4/mbm (No. 127)
Symmetry-distinct sites (fractional):
Tm  0.174  0.326  0.000 [4 per cell]
Si  0.125  0.625  0.000 [4 per cell]
Sn  0.000  0.000  0.000 [2 per cell]
Ru  0.000  0.500  0.500 [2 per cell]
Ru  0.069  0.788  0.500 [8 per cell]

A plane-wave DFT calculation with PBE was carried out for crystalline U2Si2SnRu5 at its relaxed geometry.

abc: 9.851 9.851 3.447
angles: 90.00 90.00 90.00
Space group P4/mbm (No. 127)
Symmetry-distinct sites (fractional):
U  0.177  0.323  0.000 [4 per cell]
Si  0.121  0.621  0.000 [4 per cell]
Sn  0.000  0.000  0.000 [2 per cell]
Ru  0.000  0.500  0.500 [2 per cell]
Ru  0.074  0.786  0.500 [8 per cell]

A plane-wave DFT calculation with PBE was carried out for crystalline SrSiRu2 at its relaxed geometry.

abc: 2.993 2.993 7.937
angles: 90.00 90.00 90.00
Space group P4mm (No. 99)
Symmetry-distinct sites (fractional):
Sr  0.000  0.000  0.000 [1 per cell]
Si  0.500  0.500  0.694 [1 per cell]
Ru  0.000  0.000  0.512 [1 per cell]
Ru  0.500  0.500  0.311 [1 per cell]

A plane-wave DFT calculation with PBE was carried out for crystalline Sr2SiRu at its relaxed geometry.

abc: 7.122 7.122 7.122
angles: 90.00 90.00 90.00
Space group F-43m (No. 216)
Symmetry-distinct sites (fractional):
Sr  0.000  0.000  0.000 [4 per cell]
Sr  0.250  0.250  0.250 [4 per cell]
Si  0.000  0.000  0.500 [4 per cell]
Ru  0.250  0.250  0.750 [4 per cell]

A plane-wave DFT calculation with PBE was carried out for crystalline SrSiRu4 at its relaxed geometry.

abc: 7.444 7.444 7.444
angles: 90.00 90.00 90.00
Space group F-43m (No. 216)
Symmetry-distinct sites (fractional):
Sr  0.000  0.000  0.000 [4 per cell]
Si  0.250  0.250  0.250 [4 per cell]
Ru  0.123  0.123  0.623 [16 per cell]

A plane-wave DFT calculation with PBE was carried out for crystalline SrSiRu2 at its relaxed geometry.

abc: 3.162 4.320 5.112
angles: 90.00 90.00 90.00
Space group Pmmm (No. 47)
Symmetry-distinct sites (fractional):
Sr  0.000  0.000  0.000 [1 per cell]
Si  0.500  0.000  0.500 [1 per cell]
Ru  0.000  0.500  0.500 [1 per cell]
Ru  0.500  0.500  0.000 [1 per cell]

A plane-wave DFT calculation with PBE was carried out for crystalline SrSiRu2 at its relaxed geometry.

abc: 3.8704 3.8704 19.4303
angles: 90.00 90.00 120.00
Space group R-3m (No. 166, hexagonal axes)
Symmetry-distinct sites (fractional):
Sr  0.0000  0.0000  0.0000 [3 per cell]
Si  0.0000  0.0000  0.5000 [3 per cell]
Ru  0.0000  0.0000  0.2099 [6 per cell]

A plane-wave DFT calculation with PBE was carried out for crystalline Sr2SiRu at its relaxed geometry.

abc: 3.362 3.362 8.878
angles: 90.00 90.00 90.00
Space group P4/mmm (No. 123)
Symmetry-distinct sites (fractional):
Sr  0.000  0.000  0.245 [2 per cell]
Si  0.500  0.500  0.500 [1 per cell]
Ru  0.500  0.500  0.000 [1 per cell]

A plane-wave DFT calculation with PBE was carried out for crystalline Sr2SiRu at its relaxed geometry.

abc: 7.179 4.135 8.725
angles: 90.00 105.78 90.00
Space group Cm (No. 8)
Symmetry-distinct sites (fractional):
Sr  0.000  0.000  0.000 [2 per cell]
Sr  0.175  0.000  0.528 [2 per cell]
Si  0.254  0.500  0.264 [2 per cell]
Ru  0.420  0.000  0.263 [2 per cell]

A plane-wave DFT calculation with PBE was carried out for crystalline SrSiRu2 at its relaxed geometry.

abc: 4.2483 4.2483 16.6588
angles: 90.00 90.00 120.00
Space group R3m (No. 160, hexagonal axes)
Symmetry-distinct sites (fractional):
Sr  0.0000  0.0000  0.0000 [3 per cell]
Si  0.0000  0.0000  0.8058 [3 per cell]
Ru  0.0000  0.0000  0.1897 [3 per cell]
Ru  0.0000  0.0000  0.4920 [3 per cell]

A plane-wave DFT calculation with PBE was carried out for crystalline Sr4SiRu at its relaxed geometry.

abc: 9.127 9.127 9.127
angles: 90.00 90.00 90.00
Space group F-43m (No. 216)
Symmetry-distinct sites (fractional):
Sr  0.125  0.125  0.125 [16 per cell]
Si  0.000  0.000  0.500 [4 per cell]
Ru  0.250  0.250  0.750 [4 per cell]

A plane-wave DFT calculation with PBE was carried out for crystalline SrSiRu2 at its relaxed geometry.

abc: 3.040 4.688 9.823
angles: 90.00 90.00 90.00
Space group Imm2 (No. 44)
Symmetry-distinct sites (fractional):
Sr  0.000  0.000  0.000 [2 per cell]
Si  0.000  0.500  0.218 [2 per cell]
Ru  0.000  0.000  0.518 [2 per cell]
Ru  0.000  0.500  0.781 [2 per cell]

A plane-wave DFT calculation with PBE was carried out for crystalline Sr2SiRu at its relaxed geometry.

abc: 11.174 11.174 4.605
angles: 90.00 90.00 90.00
Space group I-42d (No. 122)
Symmetry-distinct sites (fractional):
Sr  0.067  0.750  0.125 [8 per cell]
Si  0.000  0.000  0.500 [4 per cell]
Ru  0.000  0.000  0.000 [4 per cell]

A plane-wave DFT calculation with PBE was carried out for crystalline SrSiRu2 at its relaxed geometry.

abc: 4.494 4.494 3.339
angles: 90.00 90.00 90.00
Space group P4/mmm (No. 123)
Symmetry-distinct sites (fractional):
Sr  0.000  0.000  0.000 [1 per cell]
Si  0.500  0.500  0.000 [1 per cell]
Ru  0.000  0.500  0.500 [2 per cell]

A plane-wave DFT calculation with PBE was carried out for crystalline SrSi3Ru at its relaxed geometry.

abc: 5.251 5.251 5.251
angles: 90.00 90.00 90.00
Space group Pm-3m (No. 221)
Symmetry-distinct sites (fractional):
Sr  0.000  0.000  0.000 [1 per cell]
Si  0.000  0.000  0.500 [3 per cell]
Ru  0.500  0.500  0.500 [1 per cell]

DFT total energy
In order: -76.926; -28.682; -82.632; -26.931; -30.031; -76.985; -88.332; -25.158; -16.677; -41.136; -23.176; -25.551; -16.500; -19.428; -26.354; -14.746; -24.276; -18.145; -23.872; -15.325
Unit: eV per formula unit
Energy relative to the elements, uncorrected
In order: -643.7; 2150.3; -656.4; 733.8; 1168.3; -681.4; -452.8; 124.8; 346.3; 512.0; 620.1; 26.4; 390.6; -341.4; -174.3; 1113.4; 345.2; -20.7; 446.1; 2380.4
Unit: meV/atom